First-principles (PBE) data for an optimized crystal structure of Ga2HgCl, as listed in the Alexandria database.

Its density is 6.6 g/cm³. Its density of states at the Fermi level is 3.31 states/eV/f.u. As for the crystal system: cubic. The calculation puts the raw formation energy at -0.43 eV/f.u. As for the energy above the most stable polymorph in this dataset: 0.091 eV per atom.

abc: 7.2219 7.2219 7.2219
angles: 90.00 90.00 90.00
Space group Fm-3m (No. 225)
Symmetry-distinct sites (fractional):
Ga (0.2500, 0.2500, 0.2500) (multiplicity 8)
Hg (0.0000, 0.0000, 0.0000) (multiplicity 4)
Cl (0.0000, 0.0000, 0.5000) (multiplicity 4)

First-principles (PBE) data for an optimized crystal structure of TmSbO4, as listed in the Alexandria database.

Its density is 7.4 g/cm³. As for the crystal system: orthorhombic. The calculation puts the raw formation energy at -14.21 eV/f.u.

abc: 6.8440 7.1659 3.2551
angles: 90.00 90.00 90.00
Space group Cmmm (No. 65)
Symmetry-distinct sites (fractional):
Tm (0.0000, 0.0000, 0.0000) (multiplicity 2)
Sb (0.0000, 0.5000, 0.5000) (multiplicity 2)
O (0.0000, 0.3183, 0.0000) (multiplicity 4)
O (0.2131, 0.0000, 0.5000) (multiplicity 4)

First-principles (PBE) data for an optimized crystal structure of TmLuIrAu, as listed in the Alexandria database.

Its density is 14.8 g/cm³. The calculation puts the formation energy at -3.6 eV per formula unit. Its density of states at the Fermi level is 3.22 states/eV/f.u. As for the crystal system: cubic.

abc: 6.9061 6.9061 6.9061
angles: 90.00 90.00 90.00
Space group F-43m (No. 216)
Symmetry-distinct sites (fractional):
Tm (0.0000, 0.0000, 0.0000) (multiplicity 4)
Lu (0.0000, 0.0000, 0.5000) (multiplicity 4)
Ir (0.2500, 0.2500, 0.7500) (multiplicity 4)
Au (0.2500, 0.2500, 0.2500) (multiplicity 4)

First-principles (PBE) data for an optimized crystal structure of CaCrSeN2, as listed in the Alexandria database.

Its density is 4.4 g/cm³. Its density of states at the Fermi level is 2.98 states/eV/f.u. As for the crystal system: tetragonal. The calculation puts the raw formation energy at -1.18 eV/f.u. As for the energy above the most stable polymorph in this dataset: 0.000 eV per atom.

abc: 3.8125 3.8125 5.1468
angles: 90.00 90.00 90.00
Space group P4/mmm (No. 123)
Symmetry-distinct sites (fractional):
Ca (0.0000, 0.0000, 0.0000) (multiplicity 1)
Cr (0.5000, 0.5000, 0.5000) (multiplicity 1)
Se (0.5000, 0.5000, 0.0000) (multiplicity 1)
N (0.0000, 0.5000, 0.5000) (multiplicity 2)

First-principles (PBE) data for an optimized crystal structure of Pa2BeAl, as listed in the Alexandria database.

Its density is 9.7 g/cm³. The calculation puts the formation energy at 2.3 eV per formula unit. Its density of states at the Fermi level is 6.65 states/eV/f.u. As for the crystal system: trigonal.

abc: 2.9922 2.9922 33.0908
angles: 90.00 90.00 120.00
Space group R-3m (No. 166, hexagonal axes)
Symmetry-distinct sites (fractional):
Pa (0.0000, 0.0000, 0.0872) (multiplicity 6)
Be (0.0000, 0.0000, 0.0000) (multiplicity 3)
Al (0.0000, 0.0000, 0.5000) (multiplicity 3)

First-principles (PBE) data for an optimized crystal structure of SmLuCdPb, as listed in the Alexandria database.

Its density is 9.9 g/cm³. The calculation puts the formation energy at -1.4 eV per formula unit. Its density of states at the Fermi level is 3.34 states/eV/f.u. As for the crystal system: cubic.

abc: 7.5608 7.5608 7.5608
angles: 90.00 90.00 90.00
Space group F-43m (No. 216)
Symmetry-distinct sites (fractional):
Sm (0.0000, 0.0000, 0.0000) (multiplicity 4)
Lu (0.0000, 0.0000, 0.5000) (multiplicity 4)
Cd (0.2500, 0.2500, 0.2500) (multiplicity 4)
Pb (0.2500, 0.2500, 0.7500) (multiplicity 4)

First-principles (PBE) data for an optimized crystal structure of Sc2TlIn2, as listed in the Alexandria database.

Its density is 6.2 g/cm³. The calculation puts the formation energy at 0.5 eV per formula unit. Its density of states at the Fermi level is 5.34 states/eV/f.u. As for the crystal system: tetragonal. As for the energy above the most stable polymorph in this dataset: 0.318 eV per atom.

abc: 4.6035 4.6035 13.2511
angles: 90.00 90.00 90.00
Space group I4/mmm (No. 139)
Symmetry-distinct sites (fractional):
Sc (0.0000, 0.5000, 0.2500) (multiplicity 4)
Tl (0.0000, 0.0000, 0.0000) (multiplicity 2)
In (0.0000, 0.0000, 0.3961) (multiplicity 4)

First-principles (PBE) data for an optimized crystal structure of FeAgPt2, as listed in the Alexandria database.

Its density is 14.9 g/cm³. The calculation puts the formation energy at 0.0 eV per formula unit. Its density of states at the Fermi level is 3.17 states/eV/f.u. As for the crystal system: orthorhombic.

abc: 5.6457 7.8072 2.8013
angles: 90.00 90.00 90.00
Space group Cmmm (No. 65)
Symmetry-distinct sites (fractional):
Fe (0.0000, 0.0000, 0.0000) (multiplicity 2)
Ag (0.0000, 0.5000, 0.0000) (multiplicity 2)
Pt (0.2500, 0.2500, 0.5000) (multiplicity 4)

First-principles (PBE) data for an optimized crystal structure of ScCuMo2, as listed in the Alexandria database.

Its density is 7.5 g/cm³. The calculation puts the formation energy at 1.2 eV per formula unit. Its density of states at the Fermi level is 4.67 states/eV/f.u. As for the crystal system: tetragonal. As for the energy above the most stable polymorph in this dataset: 0.270 eV per atom.

abc: 3.3133 3.3133 6.0801
angles: 90.00 90.00 90.00
Space group P4/mmm (No. 123)
Symmetry-distinct sites (fractional):
Sc (0.0000, 0.0000, 0.0000) (multiplicity 1)
Cu (0.0000, 0.0000, 0.5000) (multiplicity 1)
Mo (0.5000, 0.5000, 0.3029) (multiplicity 2)

First-principles (PBE) data for an optimized crystal structure of SrBe2Co, as listed in the Alexandria database.

Its density is 4.3 g/cm³. The calculation puts the formation energy at 1.8 eV per formula unit. Its density of states at the Fermi level is 2.38 states/eV/f.u. As for the crystal system: tetragonal. As for the energy above the most stable polymorph in this dataset: 0.396 eV per atom.

abc: 3.0715 3.0715 6.6842
angles: 90.00 90.00 90.00
Space group P4mm (No. 99)
Symmetry-distinct sites (fractional):
Sr (0.0000, 0.0000, 0.0000) (multiplicity 1)
Be (0.0000, 0.0000, 0.5458) (multiplicity 1)
Be (0.5000, 0.5000, 0.3570) (multiplicity 1)
Co (0.5000, 0.5000, 0.6569) (multiplicity 1)

First-principles (PBE) data for an optimized crystal structure of CuPt2Rh, as listed in the Alexandria database.

Its density is 15.9 g/cm³. The calculation puts the formation energy at -0.2 eV per formula unit. Its density of states at the Fermi level is 4.78 states/eV/f.u. As for the crystal system: orthorhombic.

abc: 2.7294 4.5092 4.7346
angles: 90.00 90.00 90.00
Space group Pmm2 (No. 25)
Symmetry-distinct sites (fractional):
Cu (0.0000, 0.0000, 0.0000) (multiplicity 1)
Pt (0.5000, 0.0000, 0.4952) (multiplicity 1)
Pt (0.5000, 0.5000, 0.8491) (multiplicity 1)
Rh (0.0000, 0.5000, 0.3459) (multiplicity 1)

First-principles (PBE) data for an optimized crystal structure of ReP2SN, as listed in the Alexandria database.

Its density is 7.9 g/cm³. Its density of states at the Fermi level is 3.03 states/eV/f.u. As for the crystal system: tetragonal. The calculation puts the raw formation energy at 5.38 eV/f.u. As for the energy above the most stable polymorph in this dataset: 0.000 eV per atom.

abc: 3.8848 3.8848 4.0858
angles: 90.00 90.00 90.00
Space group P4/mmm (No. 123)
Symmetry-distinct sites (fractional):
Re (0.0000, 0.0000, 0.0000) (multiplicity 1)
P (0.0000, 0.5000, 0.5000) (multiplicity 2)
S (0.5000, 0.5000, 0.0000) (multiplicity 1)
N (0.5000, 0.5000, 0.5000) (multiplicity 1)

First-principles (PBE) data for an optimized crystal structure of Al2FeTc, as listed in the Alexandria database.

Its density is 6.2 g/cm³. The calculation puts the formation energy at -0.6 eV per formula unit. Its density of states at the Fermi level is 2.66 states/eV/f.u. As for the crystal system: trigonal. As for the energy above the most stable polymorph in this dataset: 0.155 eV per atom.

abc: 2.7810 2.7810 25.0217
angles: 90.00 90.00 120.00
Space group R-3m (No. 166, hexagonal axes)
Symmetry-distinct sites (fractional):
Al (0.0000, 0.0000, 0.2479) (multiplicity 6)
Fe (0.0000, 0.0000, 0.5000) (multiplicity 3)
Tc (0.0000, 0.0000, 0.0000) (multiplicity 3)